Compound: BiIrPd2Br
Source: the Alexandria database
Functional: PBE
Structure: optimized geometry

Cell: 5.137 5.137 5.089 Å, 90.00 90.00 90.00°
Space group P4/mmm (No. 123)
Unique sites:
1 Bi 0.000 0.000 0.000 x1
2 Ir 0.000 0.000 0.500 x1
3 Pd 0.000 0.500 0.000 x2
4 Br 0.500 0.500 0.500 x1

The magnetic moment comes out at 0.685 μB per cell. The density is 8.579 g cm⁻³. The calculation puts the final energy at -19.2 eV for the cell shown. For the uncorrected formation energy, the calculation gives 1.117 eV per atom.

Compound: AcScAl2Pd5
Source: the Alexandria database
Functional: PBE
Structure: optimized geometry

Cell: 4.276 4.276 9.363 Å, 90.00 90.00 90.00°
Space group P4/mmm (No. 123)
Unique sites:
1 Ac 0.000 0.000 0.000 x1
2 Sc 0.000 0.000 0.500 x1
3 Al 0.500 0.500 0.366 x2
4 Pd 0.000 0.500 0.239 x4
5 Pd 0.500 0.500 0.000 x1

The magnetic moment comes out at 0.000 μB per cell. The density is 8.323 g cm⁻³. The calculation puts the final energy at -50.2 eV for the cell shown. The calculation puts the energy of formation from the pure elements at -0.7016 eV/atom.

Compound: BeCdIr2
Source: the Alexandria database
Functional: PBE
Structure: optimized geometry

Cell: 3.926 3.926 7.619 Å, 90.00 90.00 90.00°
Space group I4/mmm (No. 139)
Unique sites:
1 Be 0.000 0.000 0.000 x2
2 Cd 0.000 0.000 0.500 x2
3 Ir 0.000 0.500 0.250 x4

The magnetic moment comes out at 0.000 μB per cell. The density is 14.307 g cm⁻³. The calculation puts the final energy at -42.7 eV for the cell shown. The calculation puts the energy of formation from the pure elements at 0.2564 eV/atom.

What did the second record say?
Compound: AcScAl2Pd5
Source: the Alexandria database
Functional: PBE
Structure: optimized geometry

Cell: 4.276 4.276 9.363 Å, 90.00 90.00 90.00°
Space group P4/mmm (No. 123)
Unique sites:
1 Ac 0.000 0.000 0.000 x1
2 Sc 0.000 0.000 0.500 x1
3 Al 0.500 0.500 0.366 x2
4 Pd 0.000 0.500 0.239 x4
5 Pd 0.500 0.500 0.000 x1

The magnetic moment comes out at 0.000 μB per cell. The density is 8.323 g cm⁻³. The calculation puts the final energy at -50.2 eV for the cell shown. The calculation puts the energy of formation from the pure elements at -0.7016 eV/atom.